DFT (PBE) results for crystalline CsPaSn at its relaxed geometry.

Cell lengths 4.5872, 4.5872, 15.7191 Å; angles 100.16, 100.16, 55.38 degrees
Atoms (fractional coordinates):
Cs 0.0991 0.0991 0.3384
Cs 0.9009 0.9009 0.6616
Pa 0.3484 0.3484 0.0403
Pa 0.6516 0.6516 0.9597
Sn 0.2860 0.2860 0.8386
Sn 0.7140 0.7140 0.1614

Computed properties:
Crystal system: monoclinic
E_form: 0.165 eV per atom

---

DFT (PBE) results for crystalline Cs3PaSn2Te6 at its relaxed geometry.

Cell lengths 8.1363, 8.1363, 9.1411 Å; angles 98.50, 98.50, 119.91 degrees
Atoms (fractional coordinates):
Cs 0.0000 0.0000 0.0000
Cs 0.3262 0.6738 0.0000
Cs 0.6738 0.3262 0.0000
Pa 0.5000 0.5000 0.5000
Sn 0.1656 0.8344 0.5000
Sn 0.8344 0.1656 0.5000
Te 0.1231 0.4383 0.3139
Te 0.2489 0.2489 0.6890
Te 0.4383 0.1231 0.3139
Te 0.5617 0.8769 0.6861
Te 0.7511 0.7511 0.3110
Te 0.8769 0.5617 0.6861

Computed properties:
Crystal system: monoclinic
Raw total energy: -4.07 eV per atom

---

DFT (PBE) results for crystalline Cs3Sr2PaTe6 at its relaxed geometry.

Cell lengths 8.2824, 8.2824, 9.2889 Å; angles 98.56, 98.56, 119.92 degrees
Atoms (fractional coordinates):
Cs 0.0000 0.0000 0.0000
Cs 0.3258 0.6742 0.0000
Cs 0.6742 0.3258 0.0000
Sr 0.1657 0.8343 0.5000
Sr 0.8343 0.1657 0.5000
Pa 0.5000 0.5000 0.5000
Te 0.1314 0.4356 0.3065
Te 0.2633 0.2633 0.6966
Te 0.4356 0.1314 0.3065
Te 0.5644 0.8686 0.6935
Te 0.7367 0.7367 0.3034
Te 0.8686 0.5644 0.6935

Computed properties:
Crystal system: monoclinic
Raw total energy: -4.16 eV per atom

---

DFT (PBE) results for crystalline Cs3Tb3PaTe8 at its relaxed geometry.

Cell lengths 10.4875, 10.4875, 10.4875 Å; angles 50.91, 50.91, 50.91 degrees
Atoms (fractional coordinates):
Cs 0.0000 0.5000 0.5000
Cs 0.5000 0.0000 0.5000
Cs 0.5000 0.5000 0.0000
Tb 0.0000 0.0000 0.5000
Tb 0.0000 0.5000 0.0000
Tb 0.5000 0.0000 0.0000
Pa 0.5000 0.5000 0.5000
Te 0.2299 0.2299 0.2299
Te 0.2297 0.7296 0.7296
Te 0.2704 0.2704 0.7703
Te 0.2704 0.7703 0.2704
Te 0.7296 0.2297 0.7296
Te 0.7296 0.7296 0.2297
Te 0.7703 0.2704 0.2704
Te 0.7701 0.7701 0.7701

Computed properties:
Crystal system: trigonal
Raw total energy: -4.70 eV per atom

---

DFT (PBE) results for crystalline Cs2Tb2PaTe6 at its relaxed geometry.

Cell lengths 7.7489, 7.7489, 9.5594 Å; angles 97.88, 97.88, 119.98 degrees
Atoms (fractional coordinates):
Cs 0.1673 0.8327 0.0000
Cs 0.8327 0.1673 0.0000
Tb 0.3326 0.6674 0.5000
Tb 0.6674 0.3326 0.5000
Pa 0.0000 0.0000 0.5000
Te 0.0657 0.3951 0.6895
Te 0.2688 0.2688 0.3116
Te 0.3951 0.0657 0.6895
Te 0.6049 0.9343 0.3105
Te 0.7312 0.7312 0.6884
Te 0.9343 0.6049 0.3105

Computed properties:
Crystal system: monoclinic
Raw total energy: -4.83 eV per atom

---

DFT (PBE) results for crystalline Cs3Pa2Te7 at its relaxed geometry.

Cell lengths 14.9905, 14.9905, 5.9605 Å; angles 90.00, 90.00, 156.92 degrees
Atoms (fractional coordinates):
Cs 0.0000 0.0000 0.0000
Cs 0.1908 0.8092 0.0000
Cs 0.8092 0.1908 0.0000
Pa 0.3974 0.6026 0.5000
Pa 0.6026 0.3974 0.5000
Te 0.0991 0.9009 0.5000
Te 0.2989 0.7011 0.5000
Te 0.4024 0.5976 0.0000
Te 0.5000 0.5000 0.5000
Te 0.5976 0.4024 0.0000
Te 0.7011 0.2989 0.5000
Te 0.9009 0.0991 0.5000

Computed properties:
Crystal system: orthorhombic
Raw total energy: -4.58 eV per atom

---

DFT (PBE) results for crystalline CsPaTe4 at its relaxed geometry.

Cell lengths 9.1289, 9.1289, 8.0840 Å; angles 96.53, 96.53, 52.82 degrees
Atoms (fractional coordinates):
Cs 0.2029 0.2029 0.1884
Cs 0.7971 0.7971 0.8116
Pa 0.4586 0.4586 0.7268
Pa 0.5414 0.5414 0.2732
Te 0.1628 0.6686 0.4465
Te 0.2537 0.7463 0.0000
Te 0.2812 0.2812 0.7231
Te 0.3314 0.8372 0.5535
Te 0.6686 0.1628 0.4465
Te 0.7188 0.7188 0.2769
Te 0.7463 0.2537 0.0000
Te 0.8372 0.3314 0.5535

Computed properties:
Crystal system: monoclinic
Raw total energy: -4.59 eV per atom

---

DFT (PBE) results for crystalline Cs2PaTe8 at its relaxed geometry.

Cell lengths 11.0316, 11.0316, 7.3755 Å; angles 106.85, 106.85, 34.19 degrees
Atoms (fractional coordinates):
Cs 0.1686 0.1686 0.1769
Cs 0.8314 0.8314 0.8231
Pa 0.5000 0.5000 0.5000
Te 0.0055 0.0055 0.3192
Te 0.1477 0.5735 0.3352
Te 0.4265 0.8523 0.6648
Te 0.4423 0.4423 0.8483
Te 0.5577 0.5577 0.1517
Te 0.5735 0.1477 0.3352
Te 0.8523 0.4265 0.6648
Te 0.9945 0.9945 0.6808

Computed properties:
Crystal system: monoclinic
Raw total energy: -3.81 eV per atom